VASP calculation (PBE) on an optimized crystal structure of La8Sm3Tl.

Cell: 8.5886 8.5886 8.5886 Å, 92.57 118.53 118.53°
Positions (direct):
1 La 0.0000 0.8773 0.6194
2 La 0.0000 0.2411 0.7311
3 La 0.2579 0.3806 0.3806
4 La 0.0000 0.6194 0.8773
5 La 0.7421 0.1227 0.1227
6 La 0.5100 0.2689 0.2689
7 La 0.0000 0.7311 0.2411
8 La 0.4900 0.7589 0.7589
9 Sm 0.5000 0.2500 0.7500
10 Sm 0.5000 0.7500 0.2500
11 Sm 0.0000 0.5000 0.5000
12 Tl 0.0000 0.0000 0.0000

## Properties
**Total DFT energy (no corrections)**: -4.297 eV/atom
**N(E_F)**: 1.7526 states/eV/atom
**Crystal system**: tetragonal
**V**: 457.5 Å³/cell
**Total magnetic moment**: 0.00 Bohr magnetons per cell